An optimized crystal structure of GaMoRh2F. Source: Alexandria via LeMat-Bulk, functional PBE with a Hubbard U.

ρ = 5.7 Mg/m³
N(E_F) = 3.384 states/eV/f.u.
raw total energy = -4.2436 eV per atom

Cell lengths 4.668, 4.668, 5.232 Å; angles 90.00, 90.00, 90.00 degrees
Space group P4/mmm (No. 123)
Unique sites:
Ga 0.000 0.000 0.000 [1 per cell]
Mo 0.000 0.000 0.500 [1 per cell]
Rh 0.000 0.500 0.500 [2 per cell]
F 0.500 0.500 0.000 [1 per cell]